1.
## Na2Mn2Se2S (GGA-PBE)

Data for Na2Mn2Se2S after structural relaxation.

The structure in POSCAR format:
```
Na2Mn2Se2S
1.0
4.644 0.000 0.000
0.000 4.644 0.000
-2.322 -2.322 7.457
Na Mn Se S
2 2 2 1
Direct
0.185 0.185 0.369 Na
0.815 0.815 0.631 Na
0.000 0.500 0.000 Mn
0.500 0.000 0.000 Mn
0.379 0.379 0.757 Se
0.621 0.621 0.243 Se
0.000 0.000 0.000 S
```


2.
## NaMnSeS (GGA-PBE)

Data for NaMnSeS after structural relaxation.

The structure in POSCAR format:
```
NaMnSeS
1.0
-0.140 -3.422 1.109
2.939 -1.573 1.360
-1.871 2.218 6.604
Na Mn Se S
1 1 1 1
Direct
0.201 0.201 0.042 Na
0.535 0.535 0.579 Mn
0.868 0.868 0.354 Se
0.868 0.868 0.774 S
```


3.
## NaMnSiS4 (GGA-PBE)

Data for NaMnSiS4 after structural relaxation.

The structure in POSCAR format:
```
NaMnSiS4
1.0
5.876 0.000 -1.451
0.000 6.640 0.000
-4.005 0.000 8.670
Na Mn Si S
2 2 2 8
Direct
0.643 0.750 0.923 Na
0.357 0.250 0.077 Na
0.765 0.750 0.454 Mn
0.235 0.250 0.546 Mn
0.167 0.750 0.343 Si
0.833 0.250 0.657 Si
0.112 0.488 0.700 S
0.888 0.988 0.300 S
0.888 0.512 0.300 S
0.112 0.012 0.700 S
0.278 0.750 0.173 S
0.722 0.250 0.827 S
0.561 0.750 0.600 S
0.439 0.250 0.400 S
```


4.
## Na3Sm2MnS6 (GGA-PBE)

Data for Na3Sm2MnS6 after structural relaxation.

The structure in POSCAR format:
```
Na3Sm2MnS6
1.0
-4.132 5.383 0.803
1.592 -3.972 5.328
6.128 3.403 -0.717
Na Sm Mn S
3 2 1 6
Direct
0.167 0.833 0.500 Na
0.833 0.167 0.500 Na
0.500 0.500 0.500 Na
0.331 0.669 0.000 Sm
0.669 0.331 0.000 Sm
0.000 0.000 0.000 Mn
0.921 0.609 0.771 S
0.777 0.777 0.208 S
0.079 0.391 0.229 S
0.609 0.921 0.771 S
0.223 0.223 0.792 S
0.391 0.079 0.229 S
```


5.
## Na2SmMnS4 (GGA-PBE)

Data for Na2SmMnS4 after structural relaxation.

The structure in POSCAR format:
```
Na2SmMnS4
1.0
-0.761 -0.116 3.832
-5.076 -4.058 -1.131
5.765 -3.893 1.027
Na Sm Mn S
2 1 1 4
Direct
0.500 0.000 0.500 Na
0.000 0.500 0.500 Na
0.000 0.000 0.000 Sm
0.500 0.500 0.000 Mn
0.500 0.275 0.218 S
0.500 0.725 0.782 S
0.000 0.281 0.783 S
0.000 0.719 0.217 S
```


6.
## Na2Mn2SnS6 (GGA-PBE)

Data for Na2Mn2SnS6 after structural relaxation.

The structure in POSCAR format:
```
Na2Mn2SnS6
1.0
-4.712 0.666 4.081
4.612 -4.064 1.229
3.469 5.973 1.437
Na Mn Sn S
2 2 1 6
Direct
0.836 0.164 0.000 Na
0.164 0.836 0.000 Na
0.334 0.666 0.500 Mn
0.666 0.334 0.500 Mn
0.000 0.000 0.500 Sn
0.705 0.705 0.697 S
0.050 0.414 0.699 S
0.295 0.295 0.303 S
0.414 0.050 0.699 S
0.950 0.586 0.301 S
0.586 0.950 0.301 S
```


7.
## Na2MnSn2S6 (GGA-PBE)

Data for Na2MnSn2S6 after structural relaxation.

The structure in POSCAR format:
```
Na2MnSn2S6
1.0
6.416 0.040 0.043
-3.137 5.597 0.043
-1.188 -2.042 6.663
Na Mn Sn S
2 1 2 6
Direct
0.827 0.173 0.000 Na
0.173 0.827 0.000 Na
0.000 0.000 0.500 Mn
0.332 0.668 0.500 Sn
0.668 0.332 0.500 Sn
0.775 0.775 0.698 S
0.070 0.371 0.705 S
0.225 0.225 0.302 S
0.371 0.070 0.705 S
0.930 0.629 0.295 S
0.629 0.930 0.295 S
```


8.
## NaMn3Sn2S8 (GGA-PBE)

Data for NaMn3Sn2S8 after structural relaxation.

The structure in POSCAR format:
```
NaMn3Sn2S8
1.0
7.303 0.000 0.000
3.652 6.325 0.000
3.652 2.108 6.545
Na Mn Sn S
1 3 2 8
Direct
0.862 0.862 0.414 Na
0.503 0.989 0.004 Mn
0.989 0.503 0.004 Mn
0.503 0.503 0.004 Mn
0.129 0.129 0.613 Sn
0.507 0.507 0.478 Sn
0.274 0.274 0.177 S
0.730 0.730 0.811 S
0.250 0.250 0.795 S
0.704 0.250 0.795 S
0.250 0.704 0.795 S
0.750 0.289 0.210 S
0.289 0.750 0.210 S
0.750 0.750 0.210 S
```


Results for E_form (uncorrected): -13.87, -14.32, -15.44, -32.83, -28.62, -16.12, -15.63, -12.02 (in kcal/mol of atoms, following the order of the records).